CsTlO2, optimized geometry, DFT GGA-PBE; formation energy without anion corrections = -0.6903 eV/atom; total magnetic moment = 0.00 Bohr magnetons per cell; calculated total energy = -3.9744 eV per atom; DOS(E_F) = 0.00 states/eV/f.u.; symmetry = P1
1.0
3.841 0.000 0.000
1.665 4.640 0.000
0.821 0.088 6.027
Cs Tl O
1 1 2
direct
0.000 0.000 0.000
0.343 0.478 0.528
0.638 0.828 0.651
0.758 0.569 0.807

---

CsTlO2, optimized geometry, DFT GGA-PBE; formation energy without anion corrections = -0.9648 eV/atom; total magnetic moment = 0.00 Bohr magnetons per cell; calculated total energy = -4.2489 eV per atom; DOS(E_F) = 0.00 states/eV/f.u.; symmetry = C2/c
1.0
5.141 -5.140 0.000
5.141 5.140 0.000
-2.534 0.000 14.064
Cs Tl O
8 8 16
direct
0.155 0.779 0.616
0.221 0.845 0.884
0.223 0.348 0.897
0.348 0.223 0.397
0.652 0.777 0.603
0.777 0.652 0.103
0.779 0.155 0.116
0.845 0.221 0.384
0.087 0.711 0.341
0.289 0.913 0.159
0.290 0.417 0.160
0.417 0.290 0.660
0.583 0.710 0.340
0.710 0.583 0.840
0.711 0.087 0.841
0.913 0.289 0.659
0.065 0.441 0.251
0.065 0.935 0.250
0.144 0.268 0.572
0.267 0.642 0.069
0.268 0.144 0.072
0.358 0.733 0.431
0.440 0.560 0.750
0.441 0.065 0.751
0.559 0.935 0.249
0.560 0.440 0.250
0.642 0.267 0.569
0.732 0.856 0.928
0.733 0.358 0.931
0.856 0.732 0.428
0.935 0.065 0.750
0.935 0.559 0.749

---

CsTlO2, optimized geometry, DFT GGA-PBE; formation energy without anion corrections = -0.8253 eV/atom; total magnetic moment = 0.00 Bohr magnetons per cell; calculated total energy = -4.1094 eV per atom; symmetry = Pmma
1.0
6.711 0.000 0.000
0.000 4.087 0.000
0.000 0.000 6.746
Cs Tl O
2 2 4
direct
0.250 0.000 0.001
0.750 0.000 0.999
0.250 0.500 0.500
0.750 0.500 0.500
0.000 0.500 0.281
0.000 0.500 0.719
0.500 0.500 0.281
0.500 0.500 0.719

---

Cs8Tl8O, optimized geometry, DFT GGA-PBE; formation energy without anion corrections = -0.2934 eV/atom; total magnetic moment = 0.00 Bohr magnetons per cell; calculated total energy = -2.1003 eV per atom; DOS(E_F) = 0.37 states/eV/f.u.; symmetry = R-3
1.0
4.578 2.643 11.090
-4.578 2.643 11.090
0.000 -5.286 11.090
Cs Tl O
8 8 1
direct
0.039 0.649 0.168
0.168 0.039 0.649
0.173 0.173 0.173
0.351 0.832 0.961
0.649 0.168 0.039
0.827 0.827 0.827
0.832 0.961 0.351
0.961 0.351 0.832
0.255 0.675 0.453
0.325 0.547 0.745
0.383 0.383 0.383
0.453 0.255 0.675
0.547 0.745 0.325
0.617 0.617 0.617
0.675 0.453 0.255
0.745 0.325 0.547
0.000 0.000 0.000

---

Cs4Tl2O, optimized geometry, DFT GGA-PBE; formation energy without anion corrections = -0.4125 eV/atom; total magnetic moment = 0.00 Bohr magnetons per cell; calculated total energy = -2.2846 eV per atom; DOS(E_F) = 4.26 states/eV/f.u.; relative energy among the computed polymorphs = 77 meV per atom; symmetry = P2/m
1.0
8.047 0.000 0.000
0.000 4.189 0.000
-2.180 0.000 9.668
Cs Tl O
4 2 1
direct
0.062 0.000 0.300
0.250 0.500 0.011
0.750 0.500 0.989
0.938 0.000 0.700
0.402 0.500 0.609
0.598 0.500 0.391
0.000 0.000 0.000

---

Cs2TlO, optimized geometry, DFT GGA-PBE; formation energy without anion corrections = -0.5504 eV/atom; total magnetic moment = 0.10 Bohr magnetons per cell; calculated total energy = -2.8083 eV per atom; DOS(E_F) = 3.52 states/eV/f.u.; relative energy among the computed polymorphs = 0 meV per atom; symmetry = P1
1.0
3.933 0.000 0.000
1.967 3.408 0.000
0.035 -0.008 11.167
Cs Tl O
2 1 1
direct
0.000 0.000 0.000
0.005 0.999 0.692
0.330 0.341 0.346
0.336 0.333 0.846

---

Number 1: calculated volume 107 Å³ per cell. Number 2: calculated volume 743 Å³ per cell. Number 3: calculated volume 185 Å³ per cell. Number 4: calculated volume 805 Å³ per cell. Number 5: calculated volume 326 Å³ per cell. Number 6: calculated volume 150 Å³ per cell.